NaCrRuO6 | GGA+U | optimized geometry

a = 5.038 Å, b = 5.150 Å, c = 5.180 Å
α = 89.48°, β = 88.61°, γ = 61.49°
Fractional positions:
Na (0.000, 0.000, 0.000)
Cr (0.332, 0.313, 0.472)
Ru (0.674, 0.662, 0.513)
O (0.001, 0.381, 0.705)
O (0.369, 0.998, 0.294)
O (0.379, 0.612, 0.697)
O (0.616, 0.388, 0.291)
O (0.631, 0.988, 0.691)
O (0.990, 0.601, 0.277)

Computed properties:
As for the space group: No. 1. Its magnetic moment is 3.0 μB/f.u. The volume is 13.1 Å³ per atom. The uncorrected energy is -6.422 eV/atom.